Record 1
Sr8LiCa2 (GGA-PBE, relaxed); E = -19.05 eV/cell
1.0
10.637 -3.162 0.000
10.637 3.162 0.000
-0.762 0.000 8.097
Sr Li Ca
8 1 2
Direct
0.035 0.035 0.255
0.222 0.222 0.142
0.331 0.331 0.586
0.411 0.411 0.079
0.589 0.589 0.921
0.669 0.669 0.414
0.778 0.778 0.858
0.965 0.965 0.745
0.500 0.500 0.500
0.150 0.150 0.679
0.850 0.850 0.321

---

Record 2
LiNpPt6 (GGA-PBE, relaxed); E = -55.34 eV/cell
1.0
5.700 0.000 0.000
0.000 5.700 0.000
0.000 0.000 4.023
Li Np Pt
1 1 6
Direct
0.000 0.000 0.000
0.500 0.500 0.000
0.000 0.500 0.000
0.246 0.246 0.500
0.246 0.754 0.500
0.500 0.000 0.000
0.754 0.246 0.500
0.754 0.754 0.500

---

Record 3
PtRh2Au (GGA-PBE, relaxed); E = -23.78 eV/cell
1.0
1.393 0.804 9.228
-1.393 0.804 9.228
0.000 -1.609 9.228
Pt Rh Au
1 2 1
Direct
0.000 0.000 0.000
0.491 0.491 0.491
0.749 0.749 0.749
0.244 0.244 0.244

---

Record 4
AgGeBr2 (GGA-PBE, relaxed); E = -10.52 eV/cell; formation energy (no corrections) = 0.07 eV/atom
1.0
0.000 3.612 3.612
3.612 0.000 3.612
3.612 3.612 0.000
Ag Ge Br
1 1 2
Direct
0.000 0.000 0.000
0.500 0.500 0.500
0.250 0.250 0.250
0.750 0.750 0.750

---

Record 5
TbPrGdLu (GGA-PBE, relaxed); E = -27.60 eV/cell
1.0
0.000 4.030 4.030
4.030 0.000 4.030
4.030 4.030 0.000
Tb Pr Gd Lu
1 1 1 1
Direct
0.000 0.000 0.000
0.250 0.250 0.250
0.750 0.750 0.750
0.500 0.500 0.500

---

Record 6
BaPt2Br (GGA-PBE, relaxed); E = -33.95 eV/cell; formation energy (no corrections) = -0.32 eV/atom
1.0
-2.464 2.464 9.771
2.464 -2.464 9.771
2.464 2.464 -9.771
Ba Pt Br
2 4 2
Direct
0.000 0.000 0.000
0.750 0.250 0.500
0.305 0.625 0.180
0.375 0.555 0.680
0.445 0.125 0.820
0.875 0.695 0.320
0.250 0.750 0.500
0.500 0.500 0.000

---

Record 7
Pm2NdCd2Ag2 (GGA-PBE, relaxed); E = -23.15 eV/cell
1.0
2.466 1.424 8.880
-2.466 1.424 8.880
0.000 -2.848 8.880
Pm Nd Cd Ag
2 1 2 2
Direct
0.125 0.125 0.125
0.875 0.875 0.875
0.000 0.000 0.000
0.263 0.263 0.263
0.737 0.737 0.737
0.400 0.400 0.400
0.600 0.600 0.600

---

Record 8
Zn2SCl (GGA-PBE, relaxed); E = -20.38 eV/cell; formation energy (no corrections) = -0.42 eV/atom
1.0
-2.906 2.906 5.772
2.906 -2.906 5.772
2.906 2.906 -5.772
Zn S Cl
4 2 2
Direct
0.089 0.625 0.964
0.375 0.339 0.464
0.661 0.125 0.036
0.875 0.911 0.536
0.000 0.000 0.000
0.750 0.250 0.500
0.250 0.750 0.500
0.500 0.500 0.000

---

Record 9
CsCd2NiSn (GGA-PBE, relaxed); E = -12.52 eV/cell
1.0
5.337 0.000 0.000
0.000 5.337 0.000
0.000 0.000 4.997
Cs Cd Ni Sn
1 2 1 1
Direct
0.000 0.000 0.000
0.000 0.500 0.500
0.500 0.000 0.500
0.500 0.500 0.500
0.500 0.500 0.000

---

Record 10
Al2TeIr (GGA-PBE, relaxed); E = -20.92 eV/cell; formation energy (no corrections) = -0.36 eV/atom
1.0
2.953 0.000 0.000
0.000 3.238 0.000
0.000 0.000 7.980
Al Te Ir
2 1 1
Direct
0.000 0.000 0.179
0.000 0.000 0.821
0.000 0.500 0.500
0.500 0.500 0.000

---

Record 11
Tb3Zn7Ag2 (GGA-PBE, relaxed); E = -31.98 eV/cell
1.0
2.733 1.578 8.822
-2.733 1.578 8.822
0.000 -3.155 8.822
Tb Zn Ag
3 7 2
Direct
0.000 0.000 0.000
0.142 0.142 0.142
0.858 0.858 0.858
0.079 0.588 0.588
0.412 0.412 0.921
0.412 0.921 0.412
0.500 0.500 0.500
0.588 0.079 0.588
0.588 0.588 0.079
0.921 0.412 0.412
0.335 0.335 0.335
0.665 0.665 0.665

---

Record 12
SrPm2Tm (GGA-PBE, relaxed); E = -14.91 eV/cell
1.0
5.253 0.000 0.000
0.000 5.253 0.000
0.000 0.000 5.243
Sr Pm Tm
1 2 1
Direct
0.000 0.000 0.000
0.000 0.500 0.500
0.500 0.000 0.500
0.500 0.500 0.000

---

Question: Which of these has the lowest E?
Answer: LiNpPt6